DFT (GGA-PBE) results for a relaxed Th4BiRuSe2 crystal.

Geometry as POSCAR:
```
Th4BiRuSe2
1.0
4.181 0.000 0.000
0.000 7.466 -0.162
0.000 2.623 7.335
Th Bi Ru Se
4 1 1 2
Direct
0.000 0.757 0.721
0.000 0.243 0.279
0.500 0.722 0.287
0.500 0.278 0.713
0.500 0.500 0.000
0.000 0.500 0.500
0.000 0.000 0.000
0.500 0.000 0.500
```

size of the total moment	0.00	μB/cell
crystal system	monoclinic
energy	-7.224	eV/atom
E_form (uncorrected)	-998	meV/atom



DFT (GGA-PBE) results for a relaxed Th4Bi2RuSe crystal.

Geometry as POSCAR:
```
Th4Bi2RuSe
1.0
4.280 0.000 0.000
0.000 7.615 0.135
0.000 -2.661 7.388
Th Bi Ru Se
4 2 1 1
Direct
0.500 0.250 0.218
0.500 0.750 0.782
0.000 0.286 0.795
0.000 0.714 0.205
0.500 0.000 0.500
0.000 0.500 0.500
0.500 0.500 0.000
0.000 0.000 0.000
```

size of the total moment	0.00	μB/cell
crystal system	monoclinic
energy	-7.087	eV/atom
E_form (uncorrected)	-812	meV/atom



DFT (GGA-PBE) results for a relaxed SiBiRu2 crystal.

Geometry as POSCAR:
```
SiBiRu2
1.0
-0.030 -0.620 5.682
-5.461 -1.675 -0.211
-1.097 -6.449 2.166
Ru Si Bi
4 2 2
Direct
0.570 0.125 0.250
0.180 0.625 0.250
0.375 0.430 0.750
0.875 0.820 0.750
0.500 0.500 0.000
0.250 0.750 0.500
0.000 0.000 0.000
0.750 0.250 0.500
```

size of the total moment	0.00	μB/cell
crystal system	tetragonal
energy	-6.421	eV/atom
E_form (uncorrected)	543	meV/atom
E above lowest polymorph	0.317	eV/atom



DFT (GGA-PBE) results for a relaxed SiBiRu2 crystal.

Geometry as POSCAR:
```
SiBiRu2
1.0
3.143 -1.712 2.733
1.706 2.515 3.324
-1.014 -0.944 4.285
Ru Si Bi
2 1 1
Direct
0.250 0.250 0.250
0.750 0.750 0.750
0.000 0.000 0.000
0.500 0.500 0.500
```

size of the total moment	0.01	μB/cell
crystal system	cubic
energy	-6.738	eV/atom
E_form (uncorrected)	226	meV/atom
E above lowest polymorph	0.000	eV/atom



DFT (GGA-PBE) results for a relaxed Si2BiRu2 crystal.

Geometry as POSCAR:
```
Si2BiRu2
1.0
7.412 0.000 0.000
0.000 7.412 0.000
0.000 0.000 2.929
Ru Si Bi
4 4 2
Direct
0.353 0.853 0.000
0.853 0.647 0.000
0.647 0.147 0.000
0.147 0.353 0.000
0.134 0.634 0.500
0.634 0.866 0.500
0.866 0.366 0.500
0.366 0.134 0.500
0.000 0.000 0.000
0.500 0.500 0.000
```

size of the total moment	0.00	μB/cell
crystal system	tetragonal
energy	-6.756	eV/atom
E_form (uncorrected)	-100	meV/atom
E above lowest polymorph	0.187	eV/atom



DFT (GGA-PBE) results for a relaxed SiBi2Ru crystal.

Geometry as POSCAR:
```
SiBi2Ru
1.0
6.319 0.000 0.000
0.000 6.319 0.000
3.159 3.159 6.090
Ru Si Bi
2 2 4
Direct
0.000 0.000 0.000
0.750 0.250 0.500
0.500 0.500 0.000
0.250 0.750 0.500
0.643 0.125 0.250
0.107 0.625 0.250
0.375 0.357 0.750
0.875 0.893 0.750
```

size of the total moment	0.00	μB/cell
crystal system	tetragonal
energy	-4.942	eV/atom
E_form (uncorrected)	673	meV/atom



DFT (GGA-PBE) results for a relaxed Si2BiRu2 crystal.

Geometry as POSCAR:
```
Si2BiRu2
1.0
-0.655 -1.392 3.323
-1.197 -3.102 -1.536
4.849 -4.559 1.064
Ru Si Bi
2 2 1
Direct
0.377 0.377 0.247
0.623 0.623 0.753
0.750 0.250 0.500
0.250 0.750 0.500
0.000 0.000 0.000
```

size of the total moment	0.00	μB/cell
crystal system	tetragonal
energy	-6.943	eV/atom
E_form (uncorrected)	-288	meV/atom
E above lowest polymorph	0.000	eV/atom



DFT (GGA-PBE) results for a relaxed YSi2BiRu crystal.

Geometry as POSCAR:
```
YSi2BiRu
1.0
5.214 0.000 0.000
0.000 5.750 0.000
0.000 0.000 5.214
Y Ru Si Bi
1 1 2 1
Direct
0.000 0.000 0.000
0.500 0.500 0.500
0.000 0.000 0.500
0.500 0.000 0.000
0.000 0.500 0.000
```

size of the total moment	2.68	μB/cell
crystal system	tetragonal
energy	-4.465	eV/atom
E_form (uncorrected)	1628	meV/atom



DFT (GGA-PBE) results for a relaxed Sm5BiRu2 crystal.

Geometry as POSCAR:
```
Sm5BiRu2
1.0
-5.722 5.294 -1.378
-5.173 -4.587 3.857
7.022 2.907 4.751
Sm Bi Ru
10 2 4
Direct
0.525 0.713 0.738
0.787 0.975 0.262
0.000 0.000 0.000
0.500 0.500 0.000
0.213 0.025 0.738
0.713 0.213 0.738
0.025 0.525 0.738
0.287 0.787 0.262
0.975 0.475 0.262
0.475 0.287 0.262
0.750 0.750 0.500
0.250 0.250 0.500
0.143 0.357 0.000
0.643 0.143 0.000
0.357 0.857 0.000
0.857 0.643 0.000
```

size of the total moment	0.00	μB/cell
crystal system	tetragonal
energy	-6.182	eV/atom
formation enthalpy at 0 K	-0.428	eV per atom



DFT (GGA-PBE) results for a relaxed Sm7Bi2Ru2 crystal.

Geometry as POSCAR:
```
Sm7Bi2Ru2
1.0
-5.018 -5.460 0.243
4.960 -4.625 -1.502
2.216 -1.754 6.345
Sm Bi Ru
7 2 2
Direct
0.239 0.000 0.500
0.761 0.500 0.000
0.761 0.000 0.500
0.239 0.500 0.000
0.000 0.000 0.000
0.775 0.500 0.500
0.225 0.500 0.500
0.500 0.204 0.796
0.500 0.796 0.204
0.000 0.278 0.278
0.000 0.722 0.722
```

size of the total moment	0.00	μB/cell
crystal system	orthorhombic
energy	-5.725	eV/atom
formation enthalpy at 0 K	-0.330	eV per atom



DFT (GGA-PBE) results for a relaxed Sm5BiRu crystal.

Geometry as POSCAR:
```
Sm5BiRu
1.0
6.540 0.396 -0.205
2.450 6.077 -0.205
3.149 2.267 10.994
Sm Bi Ru
10 2 2
Direct
0.976 0.594 0.139
0.211 0.548 0.539
0.594 0.976 0.639
0.972 0.028 0.250
0.452 0.789 0.961
0.548 0.211 0.039
0.028 0.972 0.750
0.406 0.024 0.361
0.789 0.452 0.461
0.024 0.406 0.861
0.469 0.531 0.250
0.531 0.469 0.750
0.000 0.000 0.000
0.000 0.000 0.500
```

size of the total moment	0.00	μB/cell
crystal system	monoclinic
energy	-5.472	eV/atom
formation enthalpy at 0 K	-0.222	eV per atom



DFT (GGA-PBE) results for a relaxed Sm12BiRu5 crystal.

Geometry as POSCAR:
```
Sm12BiRu5
1.0
8.005 -0.060 -3.178
-4.151 7.150 -2.415
-0.120 0.060 8.612
Sm Bi Ru
12 1 5
Direct
0.547 0.823 0.724
0.453 0.177 0.276
0.902 0.177 0.724
0.098 0.823 0.276
0.684 0.674 0.358
0.316 0.326 0.642
0.316 0.674 0.990
0.684 0.326 0.010
0.809 0.583 0.774
0.191 0.417 0.226
0.191 0.965 0.774
0.809 0.035 0.226
0.000 0.500 0.500
0.665 0.665 0.000
0.335 0.335 0.000
0.500 0.121 0.621
0.500 0.879 0.379
0.000 0.000 0.000
```

size of the total moment	0.00	μB/cell
crystal system	orthorhombic
energy	-6.254	eV/atom
formation enthalpy at 0 K	-0.316	eV per atom